1.
Density functional theory data (PBE) for an optimized crystal structure of OsWBr.

Computed properties:
* space group: I4mm (107)
* formation energy from raw total energies: 0.67 eV per atom
* N(E_F): 2.53 states/eV/f.u.

abc: 6.167 6.167 6.167
angles: 151.70 151.70 40.46
Atoms (fractional coordinates):
1 Os 0.309 0.309 0.000
2 W 0.679 0.679 0.000
3 Br 0.012 0.012 0.000

***

2.
Density functional theory data (PBE) for an optimized crystal structure of Cd2SiGePt.

Computed properties:
* space group: P4/mmm (123)
* formation energy from raw total energies: 0.43 eV per atom
* N(E_F): 2.48 states/eV/f.u.

abc: 5.068 4.559 5.068
angles: 90.00 90.00 90.00
Atoms (fractional coordinates):
1 Pt 0.000 0.500 0.000
2 Si 0.000 0.000 0.000
3 Cd 0.000 0.000 0.500
4 Cd 0.500 0.000 0.000
5 Ge 0.500 0.500 0.500

***

3.
Density functional theory data (PBE) for an optimized crystal structure of Zn4Cu6Pt.

Computed properties:
* space group: I-42m (121)
* N(E_F): 3.76 states/eV/f.u.
* formation energy: 0.023 eV/atom

abc: 7.257 7.257 7.257
angles: 58.56 139.54 139.54
Atoms (fractional coordinates):
1 Cu 0.636 0.187 0.187
2 Cu 0.500 0.500 0.000
3 Cu 0.364 0.551 0.551
4 Cu 0.000 0.449 0.813
5 Cu 0.500 0.000 0.500
6 Cu 0.000 0.813 0.449
7 Pt 0.000 0.000 0.000
8 Zn 0.399 0.370 0.370
9 Zn 0.000 0.630 0.028
10 Zn 0.000 0.028 0.630
11 Zn 0.601 0.972 0.972

***

4.
Density functional theory data (PBE) for an optimized crystal structure of SnBiPb.

Computed properties:
* space group: P2_1/m (11)
* N(E_F): 1.18 states/eV/f.u.
* formation energy: 0.047 eV/atom

abc: 3.432 5.278 11.015
angles: 90.04 110.79 89.99
Atoms (fractional coordinates):
1 Sn 0.851 0.750 0.060
2 Sn 0.149 0.250 0.940
3 Pb 0.150 0.750 0.406
4 Pb 0.850 0.250 0.594
5 Bi 0.640 0.750 0.745
6 Bi 0.360 0.250 0.255

***

5.
Density functional theory data (PBE) for an optimized crystal structure of Na2CeI6.

Computed properties:
* space group: P2_1/c (14)
* formation energy from raw total energies: -1.18 eV per atom

abc: 7.647 8.254 11.985
angles: 90.00 91.56 90.00
Atoms (fractional coordinates):
1 I 0.341 0.551 0.767
2 I 0.673 0.190 0.923
3 I 0.659 0.449 0.233
4 I 0.184 0.307 0.071
5 I 0.173 0.310 0.423
6 I 0.684 0.193 0.571
7 I 0.827 0.690 0.577
8 I 0.841 0.949 0.267
9 I 0.816 0.693 0.929
10 I 0.316 0.807 0.429
11 I 0.159 0.051 0.733
12 I 0.327 0.810 0.077
13 Na 0.557 0.895 0.734
14 Na 0.943 0.395 0.766
15 Na 0.443 0.105 0.266
16 Na 0.057 0.605 0.234
17 Ce 0.500 0.500 0.000
18 Ce 0.000 0.000 0.500

***

6.
Density functional theory data (PBE) for an optimized crystal structure of Mn2IrPt.

Computed properties:
* space group: F-43m (216)
* N(E_F): 6.29 states/eV/f.u.
* formation energy: 0.101 eV/atom

abc: 4.347 4.347 4.347
angles: 60.00 60.00 60.00
Each line ends with the local moment (μB).
Atoms (fractional coordinates):
1 Mn 0.000 0.000 0.000  3.35
2 Mn 0.250 0.250 0.250  3.10
3 Ir 0.500 0.500 0.500  -0.01
4 Pt 0.750 0.750 0.750  0.05

***

7.
Density functional theory data (PBE) for an optimized crystal structure of LaYTc2As.

Computed properties:
* space group: P4/mmm (123)
* N(E_F): 5.06 states/eV/f.u.
* formation energy: 1.428 eV/atom

abc: 4.717 5.656 4.717
angles: 90.00 90.00 90.00
Each line ends with the local moment (μB).
Atoms (fractional coordinates):
1 As 0.500 0.500 0.500  0.01
2 Y 0.000 0.500 0.000  -0.05
3 Tc 0.500 0.000 0.000  0.67
4 Tc 0.000 0.000 0.500  0.61
5 La 0.000 0.000 0.000  -0.05

***

8.
Density functional theory data (PBE) for an optimized crystal structure of Ac5Cd2RhN.

Computed properties:
* space group: Cmc2_1 (36)
* formation energy from raw total energies: -0.54 eV per atom
* N(E_F): 7.02 states/eV/f.u.

abc: 4.236 10.067 14.915
angles: 90.00 90.00 102.14
Atoms (fractional coordinates):
1 Rh 0.204 0.408 0.025
2 Rh 0.796 0.592 0.525
3 N 0.445 0.890 0.429
4 N 0.555 0.110 0.929
5 Cd 0.861 0.721 0.824
6 Cd 0.891 0.782 0.184
7 Cd 0.109 0.218 0.684
8 Cd 0.139 0.279 0.324
9 Ac 0.285 0.571 0.662
10 Ac 0.494 0.988 0.791
11 Ac 0.956 0.912 0.516
12 Ac 0.506 0.012 0.291
13 Ac 0.044 0.088 0.016
14 Ac 0.651 0.301 0.507
15 Ac 0.320 0.641 0.385
16 Ac 0.680 0.359 0.885
17 Ac 0.715 0.429 0.162
18 Ac 0.349 0.699 0.007

***

9.
Density functional theory data (PBE) for an optimized crystal structure of Y2ErSb.

Computed properties:
* space group: R-3m (166)
* formation energy from raw total energies: -0.30 eV per atom
* N(E_F): 4.73 states/eV/f.u.

abc: 3.969 3.969 9.919
angles: 78.46 78.46 60.00
Each line ends with the local moment (μB).
Atoms (fractional coordinates):
1 Y 0.734 0.734 0.798  0.10
2 Y 0.266 0.266 0.202  0.10
3 Sb 0.000 0.000 0.000  0.01
4 Er 0.500 0.500 0.500  0.45

***

10.
Density functional theory data (PBE) for an optimized crystal structure of Ho3ZrNi8.

Computed properties:
* space group: R3m (160)
* N(E_F): 6.51 states/eV/f.u.
* formation energy: -0.442 eV/atom

abc: 5.018 5.018 8.707
angles: 73.25 73.25 60.00
Atoms (fractional coordinates):
1 Ho 0.375 0.375 0.875
2 Ho 0.501 0.501 0.498
3 Ho 0.999 0.999 0.002
4 Ni 0.938 0.441 0.683
5 Ni 0.938 0.938 0.683
6 Ni 0.437 0.437 0.192
7 Ni 0.437 0.934 0.192
8 Ni 0.187 0.187 0.438
9 Ni 0.934 0.437 0.192
10 Ni 0.441 0.938 0.683
11 Ni 0.688 0.688 0.937
12 Zr 0.875 0.875 0.374

***

11.
Density functional theory data (PBE) for an optimized crystal structure of Be2NiSb.

Computed properties:
* space group: P2/m (10)
* formation energy from raw total energies: 0.23 eV per atom
* N(E_F): 1.46 states/eV/f.u.

abc: 3.687 3.812 5.719
angles: 40.19 90.00 90.00
Atoms (fractional coordinates):
1 Ni 0.500 0.500 0.500
2 Be 0.500 0.500 0.000
3 Be 0.000 0.000 0.000
4 Sb 0.000 0.000 0.500

***

12.
Density functional theory data (PBE) for an optimized crystal structure of Cs4LiHg4.

Computed properties:
* space group: I-42m (121)
* N(E_F): 7.98 states/eV/f.u.
* formation energy: -0.146 eV/atom

abc: 7.794 9.544 7.794
angles: 65.90 90.00 114.10
Atoms (fractional coordinates):
1 Hg 0.316 0.210 0.107
2 Hg 0.893 0.210 0.684
3 Hg 0.107 0.790 0.893
4 Hg 0.684 0.790 0.316
5 Cs 0.855 0.283 0.145
6 Cs 0.145 0.717 0.427
7 Cs 0.427 0.283 0.573
8 Cs 0.573 0.717 0.855
9 Li 0.000 0.000 0.000

***

13.
Density functional theory data (PBE) for an optimized crystal structure of ScAs2RhSe.

Computed properties:
* space group: P4/mmm (123)
* formation energy from raw total energies: 0.01 eV per atom
* N(E_F): 5.07 states/eV/f.u.

abc: 4.679 4.679 5.193
angles: 90.00 90.00 90.00
Atoms (fractional coordinates):
1 Rh 0.000 0.000 0.000
2 Sc 0.500 0.500 0.500
3 Se 0.000 0.000 0.500
4 As 0.500 0.000 0.000
5 As 0.000 0.500 0.000

***

14.
Density functional theory data (PBE) for an optimized crystal structure of TcAu.

Computed properties:
* space group: C2/m (12)
* N(E_F): 2.28 states/eV/f.u.
* formation energy: 0.325 eV/atom

abc: 6.498 4.868 4.868
angles: 147.12 129.65 58.79
Atoms (fractional coordinates):
1 Au 0.920 0.997 0.922
2 Au 0.164 0.753 0.411
3 Tc 0.642 0.247 0.395
4 Tc 0.441 0.503 0.938

***

15.
Density functional theory data (PBE) for an optimized crystal structure of TeAuO4.

Computed properties:
* space group: P2_1/c (14)
* formation energy from raw total energies: -0.49 eV per atom
* N(E_F): 1.38 states/eV/f.u.

abc: 5.510 4.889 5.883
angles: 90.00 106.21 90.00
Atoms (fractional coordinates):
1 Au 0.500 0.500 0.000
2 Au 0.000 0.000 0.000
3 O 0.271 0.315 0.392
4 O 0.729 0.685 0.608
5 O 0.229 0.815 0.608
6 O 0.134 0.354 0.830
7 O 0.366 0.854 0.170
8 O 0.634 0.146 0.830
9 O 0.771 0.185 0.392
10 O 0.866 0.646 0.170
11 Te 0.500 0.000 0.500
12 Te 0.000 0.500 0.500

***

16.
Density functional theory data (PBE) for an optimized crystal structure of HoSc5Bi4.

Computed properties:
* space group: Cmmm (65)
* N(E_F): 10.56 states/eV/f.u.
* formation energy: -0.316 eV/atom

abc: 5.740 9.977 10.146
angles: 90.00 90.00 90.00
Each line ends with the local moment (μB).
Atoms (fractional coordinates):
1 Sc 0.250 0.250 0.750  0.27
2 Sc 0.500 0.500 0.000  0.27
3 Sc 0.750 0.750 0.750  0.27
4 Sc 0.750 0.750 0.250  0.27
5 Sc 0.500 0.000 0.500  0.27
6 Sc 0.250 0.250 0.250  0.27
7 Sc 0.250 0.750 0.250  0.27
8 Sc 0.750 0.250 0.750  0.27
9 Sc 0.250 0.750 0.750  0.27
10 Sc 0.750 0.250 0.250  0.27
11 Bi 0.500 0.183 0.000  -0.02
12 Bi 0.000 0.000 0.673  -0.02
13 Bi 0.000 0.000 0.327  -0.02
14 Bi 0.000 0.500 0.173  -0.02
15 Bi 0.000 0.500 0.827  -0.02
16 Bi 0.500 0.817 0.000  -0.02
17 Bi 0.500 0.683 0.500  -0.02
18 Bi 0.500 0.317 0.500  -0.02
19 Ho 0.000 0.500 0.500  0.14
20 Ho 0.000 0.000 0.000  0.14

***

17.
Density functional theory data (PBE) for an optimized crystal structure of YCr3S.

Computed properties:
* space group: Pm-3m (221)
* formation energy from raw total energies: 2.66 eV per atom
* N(E_F): 11.31 states/eV/f.u.

abc: 4.608 4.608 4.608
angles: 90.00 90.00 90.00
Atoms (fractional coordinates):
1 S 0.500 0.500 0.500
2 Cr 0.000 0.000 0.500
3 Cr 0.500 0.000 0.000
4 Cr 0.000 0.500 0.000
5 Y 0.000 0.000 0.000

***

18.
Density functional theory data (PBE) for an optimized crystal structure of TbZnGaHg.

Computed properties:
* space group: F-43m (216)
* N(E_F): 0.27 states/eV/f.u.
* formation energy: -0.307 eV/atom

abc: 4.928 4.928 4.928
angles: 60.00 60.00 60.00
Atoms (fractional coordinates):
1 Ga 0.750 0.750 0.750
2 Hg 0.250 0.250 0.250
3 Tb 0.000 0.000 0.000
4 Zn 0.500 0.500 0.500